# 1
The following is a DFT calculation (PBE) of a geometry-optimized YAlTl2 structure.

extended XYZ file:
```
4
Lattice="5.3194 0.0000 0.0000 2.6597 4.6068 0.0000 2.6597 1.5356 4.3433" Properties=species:S:1:pos:R:3 pbc="T T T"
Y 7.9792 4.6068 3.2575
Tl 0.0000 0.0000 0.0000
Tl 2.6597 1.5356 1.0858
Al 5.3194 3.0712 2.1717
```

Values from the calculation:
Density in Mg/m³: 8.185
SG: F-43m, No. 216
Energy above the most stable polymorph in this dataset in meV per atom: 247

***

# 2
The following is a DFT calculation (PBE) of a geometry-optimized CoTcNi2 structure.

extended XYZ file:
```
4
Lattice="-4.0084 0.5926 0.2986 -2.5788 -2.8326 -1.3542 -2.1857 -2.1849 2.6375" Properties=species:S:1:pos:R:3 pbc="T T T"
Co -4.3865 -2.2124 0.7909
Ni 0.0000 0.0000 0.0000
Ni -2.1932 -1.1062 0.3955
Tc -6.5797 -3.3187 1.1864
```

Values from the calculation:
Density in Mg/m³: 9.605
SG: F-43m, No. 216
Energy above the most stable polymorph in this dataset in meV per atom: 133

***

Number 1: ΔE_f 0.037 eV per atom. Number 2: ΔE_f 0.167 eV per atom.